TlAgW2, relaxed, DFT PBE-GGA; offset from the most stable computed form = 468 meV per atom; space group = No. 123; D(E_F) = 2.30 states/eV per cell
1.0
2.818 0.000 0.000
0.000 2.818 0.000
0.000 0.000 9.062
Tl Ag W
1 1 2
direct
0.000 0.000 0.000 Tl
0.000 0.000 0.500 Ag
0.500 0.500 0.262 W
0.500 0.500 0.738 W

---

TlAgW2, relaxed, DFT PBE-GGA; offset from the most stable computed form = 191 meV per atom; space group = No. 99; D(E_F) = 2.76 states/eV per cell
1.0
2.803 0.000 0.000
0.000 2.803 0.000
0.000 0.000 9.434
Tl Ag W
1 1 2
direct
0.000 0.000 0.000 Tl
0.500 0.500 0.723 Ag
0.000 0.000 0.492 W
0.500 0.500 0.259 W

---

TlAgW2, relaxed, DFT PBE-GGA; offset from the most stable computed form = 0 meV per atom; space group = No. 35; D(E_F) = 2.48 states/eV per cell
1.0
1.623 -2.427 0.000
1.623 2.427 0.000
0.000 0.000 9.648
Tl Ag W
1 1 2
direct
0.000 0.000 0.000 Tl
0.500 0.500 0.274 Ag
0.000 0.000 0.520 W
0.500 0.500 0.728 W

---

Tl2AgW, relaxed, DFT PBE-GGA; offset from the most stable computed form = 468 meV per atom; space group = No. 122; D(E_F) = 6.68 states/eV per cell
1.0
-2.163 2.163 9.779
2.163 -2.163 9.779
2.163 2.163 -9.779
Tl Ag W
4 2 2
direct
0.112 0.625 0.987 Tl
0.375 0.362 0.487 Tl
0.638 0.125 0.013 Tl
0.875 0.888 0.513 Tl
0.250 0.750 0.500 Ag
0.500 0.500 0.000 Ag
0.000 0.000 0.000 W
0.750 0.250 0.500 W

---

no.,energy of formation (eV/atom),E (eV per atom)
1,1.02,-6.76
2,0.74,-7.04
3,0.55,-7.23
4,1.16,-3.97